Density functional theory data (GGA-PBE) for Lu2ThSb after structural relaxation.

Cell and atoms, written as POSCAR:
```
Lu2ThSb
1.0
4.697 0.000 0.000
0.000 4.827 0.000
0.000 0.000 4.827
Sb Lu Th
1 2 1
direct
0.500 0.500 0.500
0.000 0.000 0.500
0.000 0.500 0.000
0.500 0.000 0.000
```

Results
For the polymorph energy (0 for the lowest one), the calculation gives 0.14 eV per formula unit. Its calculated total energy is -5.550 eV per atom. The calculation puts the uncorrected formation energy at -0.40 eV/atom.